1.
A plane-wave DFT calculation with GGA-PBE was carried out for crystalline Sc2Ta4Cd3C3 at its relaxed geometry.

POSCAR file:
```
Sc2Ta4Cd3C3
1.0
4.859 -2.803 0.000
4.859 2.803 0.000
-3.301 0.000 14.545
C Cd Sc Ta
6 6 4 8
Cartesian
2.430 -1.402 0.000
5.686 -1.430 0.000
4.032 1.430 0.000
4.036 1.430 7.272
0.779 1.402 7.272
2.382 -1.430 7.273
2.031 0.682 3.608
4.034 -2.785 3.636
6.037 0.682 3.665
0.381 -0.682 10.880
2.384 2.785 10.909
4.387 -0.682 10.937
4.095 -0.442 1.366
3.973 -0.442 5.907
2.445 0.442 8.638
2.323 0.442 13.179
0.808 -0.521 1.101
7.243 -0.442 1.102
0.826 -0.442 6.170
7.260 -0.521 6.172
-0.843 0.521 8.373
5.592 0.442 8.375
-0.825 0.442 13.442
5.610 0.521 13.444
```

Summary:
Raw total energy   -191.3 eV for the cell shown
SG   C2/c

2.
A plane-wave DFT calculation with GGA-PBE was carried out for crystalline Sc2CdTcC at its relaxed geometry.

POSCAR file:
```
Sc2CdTcC
1.0
4.594 0.000 0.000
0.000 4.594 0.000
0.000 0.000 4.006
C Cd Sc Tc
1 1 2 1
Cartesian
0.000 0.000 0.000
2.297 2.297 2.003
2.297 0.000 0.000
0.000 2.297 0.000
0.000 0.000 2.003
```

Summary:
Raw total energy   -35.1 eV for the cell shown
SG   P4/mmm

3.
A plane-wave DFT calculation with GGA-PBE was carried out for crystalline Sc4TlCdC2 at its relaxed geometry.

POSCAR file:
```
Sc4TlCdC2
1.0
3.355 0.000 0.000
-1.677 2.905 0.000
0.000 0.000 15.365
C Cd Sc Tl
2 1 4 1
Cartesian
1.677 0.968 3.853
1.677 0.968 11.512
0.000 0.000 0.000
0.000 1.937 2.651
0.000 0.000 5.095
0.000 0.000 10.270
0.000 1.937 12.714
0.000 1.937 7.682
```

Summary:
Raw total energy   -50.8 eV for the cell shown
SG   P-6m2

4.
A plane-wave DFT calculation with GGA-PBE was carried out for crystalline Tm3ScCd2C2 at its relaxed geometry.

POSCAR file:
```
Tm3ScCd2C2
1.0
3.462 0.000 0.000
-1.731 2.998 0.000
0.000 0.000 16.107
C Cd Sc Tm
2 2 1 3
Cartesian
0.000 0.000 0.092
0.000 0.000 8.042
1.731 0.999 3.907
0.000 1.999 12.128
0.000 1.999 1.269
0.000 1.999 6.708
1.731 0.999 9.389
1.731 0.999 14.840
```

Summary:
Raw total energy   -42.8 eV for the cell shown
SG   P3m1

5.
A plane-wave DFT calculation with GGA-PBE was carried out for crystalline Sc2Cd3W4C3 at its relaxed geometry.

POSCAR file:
```
Sc2Cd3W4C3
1.0
5.500 0.000 0.000
-2.737 4.771 0.000
-0.093 -3.132 14.195
C Cd Sc W
6 6 4 8
Cartesian
2.750 0.000 0.000
-0.011 1.583 0.000
2.775 3.188 0.000
-0.036 1.597 7.097
-0.047 -1.566 7.098
2.706 0.042 7.099
-1.401 3.185 3.509
4.789 0.403 3.549
2.045 1.189 3.589
0.625 0.450 10.606
-2.118 1.236 10.646
4.072 -1.546 10.686
0.951 3.139 1.414
0.835 3.206 5.683
1.836 -1.567 8.512
1.720 -1.500 12.781
3.596 1.592 1.041
0.949 0.064 1.043
3.668 1.675 6.054
0.913 -0.040 6.057
1.757 1.680 8.138
-0.998 -0.036 8.141
1.721 1.575 13.152
-0.925 0.048 13.154
```

Summary:
Raw total energy   -193.2 eV for the cell shown
SG   C2/c

6.
A plane-wave DFT calculation with GGA-PBE was carried out for crystalline Y4Sc2Cd3C3 at its relaxed geometry.

POSCAR file:
```
Y4Sc2Cd3C3
1.0
5.283 -3.046 0.000
5.283 3.046 0.000
-3.583 0.000 15.843
C Cd Sc Y
6 6 4 8
Cartesian
2.641 1.523 0.000
4.430 -1.476 0.003
4.344 -1.476 7.918
0.850 -1.523 7.922
2.639 1.476 7.925
2.552 1.476 15.840
5.905 -0.346 3.957
4.387 2.260 3.961
2.869 -0.346 3.964
4.114 0.346 11.879
2.596 -2.260 11.883
1.078 0.346 11.886
4.385 0.520 1.119
4.389 0.520 6.803
2.593 -0.520 9.040
2.598 -0.520 14.725
7.938 0.515 1.396
0.879 0.489 1.396
7.895 0.489 6.526
0.836 0.515 6.526
6.147 -0.515 9.317
-0.912 -0.489 9.318
6.103 -0.489 14.447
-0.956 -0.515 14.448
```

Summary:
Raw total energy   -146.2 eV for the cell shown
SG   C2/c

7.
A plane-wave DFT calculation with GGA-PBE was carried out for crystalline Y2Sc4Cd3C3 at its relaxed geometry.

POSCAR file:
```
Y2Sc4Cd3C3
1.0
1.085 3.711 -4.504
-2.756 -0.756 -5.203
-10.876 8.103 7.991
C Cd Sc Y
6 6 8 4
Cartesian
0.543 1.856 -2.252
-1.673 0.092 -4.207
-7.391 4.642 -1.860
-6.816 3.674 1.394
-5.155 6.417 0.144
-10.873 10.967 2.491
-3.755 2.065 -0.592
-5.182 1.611 -3.152
-4.579 3.517 -5.342
-7.968 7.541 3.626
-7.364 9.448 1.436
-8.792 8.993 -1.123
-0.653 1.309 -0.398
-1.783 3.251 -6.849
-4.696 4.488 1.253
-5.787 6.475 -5.191
-6.759 4.583 3.476
-7.850 6.570 -2.969
-10.764 7.807 5.134
-11.893 9.749 -1.318
-1.509 2.499 -3.529
-4.967 5.244 -2.067
-7.579 5.814 0.351
-11.037 8.560 1.813
```

Summary:
Raw total energy   -147.6 eV for the cell shown
SG   C2/c

8.
A plane-wave DFT calculation with GGA-PBE was carried out for crystalline Y2ScCdC at its relaxed geometry.

POSCAR file:
```
Y2ScCdC
1.0
4.998 0.000 0.000
0.000 4.998 0.000
0.000 0.000 4.468
C Cd Sc Y
1 1 1 2
Cartesian
0.000 0.000 0.000
2.499 2.499 2.234
0.000 0.000 2.234
2.499 0.000 0.000
0.000 2.499 0.000
```

Summary:
Raw total energy   -31.4 eV for the cell shown
SG   P4/mmm